The following is a DFT calculation (PBE+U) of a relaxed structure of CuNi2PtO6.

Cell: 5.743 5.743 3.817 Å, 90.00 90.00 90.00°
Sites, in units of the cell vectors:
1 Cu 0.000 0.000 0.000
2 Ni 0.000 0.500 0.179
3 Ni 0.500 0.000 0.179
4 Pt 0.500 0.500 0.037
5 O 0.000 0.000 0.517
6 O 0.251 0.251 0.092
7 O 0.251 0.749 0.092
8 O 0.500 0.500 0.545
9 O 0.749 0.251 0.092
10 O 0.749 0.749 0.092

Output
* DOS(E_F): 5.539 states/eV/cell
* energy: -4.710 eV/atom

---

The following is a DFT calculation (PBE+U) of a relaxed structure of Pu2CuNiO8.

Cell: 5.841 5.841 5.841 Å, 111.78 111.78 104.95°
Sites, in units of the cell vectors:
1 Pu 0.000 0.000 0.000
2 Pu 0.750 0.250 0.500
3 Cu 0.250 0.750 0.500
4 Ni 0.500 0.500 0.000
5 O 0.044 0.348 0.305
6 O 0.044 0.739 0.695
7 O 0.101 0.294 0.807
8 O 0.261 0.956 0.305
9 O 0.488 0.294 0.193
10 O 0.652 0.956 0.695
11 O 0.706 0.512 0.807
12 O 0.706 0.899 0.193

Output
* DOS(E_F): 9.006 states/eV/cell
* energy: -8.029 eV/atom